Ta3AlRe | GGA-PBE | optimized geometry

## Properties
**DOS(E_F)**: 6.86 states/eV/f.u.
**Formation energy**: 7.890 eV per formula unit
**Total magnetic moment**: 0.111 μB per formula unit

```
data_Ta3AlRe
_cell_length_a 4.6017
_cell_length_b 4.6017
_cell_length_c 4.6017
_cell_angle_alpha 90.00
_cell_angle_beta 90.00
_cell_angle_gamma 90.00
_symmetry_space_group_name_H-M 'P m -3 m'
_symmetry_Int_Tables_number 221
_symmetry_space_group_name_Hall '-P 4 2 3'
loop_
_atom_site_label
_atom_site_type_symbol
_atom_site_fract_x
_atom_site_fract_y
_atom_site_fract_z
Ta1 Ta 0.0000 0.0000 0.5000
Al1 Al 0.0000 0.0000 0.0000
Re1 Re 0.5000 0.5000 0.5000
```

=====

CuBi2SbSe5 | GGA-PBE | optimized geometry

## Properties
**DOS(E_F)**: 0.09 states/eV/f.u.
**Energy**: -3.97 eV/atom
**Total magnetic moment**: 0.000 μB per formula unit

```
data_CuBi2SbSe5
_cell_length_a 4.0857
_cell_length_b 18.2970
_cell_length_c 13.1194
_cell_angle_alpha 90.00
_cell_angle_beta 90.00
_cell_angle_gamma 90.00
_symmetry_space_group_name_H-M 'C m c 21'
_symmetry_Int_Tables_number 36
loop_
_symmetry_equiv_pos_as_xyz
'x,y,z'
'-x,-y,z+1/2'
'-x,y,z'
'x,-y,z+1/2'
'x+1/2,y+1/2,z'
'-x+1/2,-y+1/2,z+1/2'
'-x+1/2,y+1/2,z'
'x+1/2,-y+1/2,z+1/2'
loop_
_atom_site_label
_atom_site_type_symbol
_atom_site_fract_x
_atom_site_fract_y
_atom_site_fract_z
Cu1 Cu 0.0000 0.0754 0.0000
Bi1 Bi 0.0000 0.3876 0.8032
Bi2 Bi 0.0000 0.4147 0.1986
Sb1 Sb 0.0000 0.2721 0.5649
Se1 Se 0.0000 0.0136 0.8340
Se2 Se 0.0000 0.1257 0.5456
Se3 Se 0.0000 0.2019 0.9331
Se4 Se 0.0000 0.2127 0.2444
Se5 Se 0.0000 0.4495 0.6014
```

=====

Tl2SiBr | GGA-PBE | optimized geometry

## Properties
**DOS(E_F)**: 1.61 states/eV/f.u.
**Energy**: -2.84 eV/atom
**Total magnetic moment**: 0.000 μB per formula unit

```
data_Tl2SiBr
_cell_length_a 3.9213
_cell_length_b 3.9213
_cell_length_c 8.8931
_cell_angle_alpha 90.00
_cell_angle_beta 90.00
_cell_angle_gamma 90.00
_symmetry_space_group_name_H-M 'P 4 m m'
_symmetry_Int_Tables_number 99
loop_
_symmetry_equiv_pos_as_xyz
'x,y,z'
'-y,x,z'
'-x,-y,z'
'y,-x,z'
'-x,y,z'
'y,x,z'
'x,-y,z'
'-y,-x,z'
loop_
_atom_site_label
_atom_site_type_symbol
_atom_site_fract_x
_atom_site_fract_y
_atom_site_fract_z
Tl1 Tl 0.0000 0.0000 0.0000
Tl2 Tl 0.5000 0.5000 0.4601
Si1 Si 0.5000 0.5000 0.0766
Br1 Br 0.0000 0.0000 0.6384
```

=====

Mn2InMo | GGA-PBE | optimized geometry

## Properties
**DOS(E_F)**: 1.99 states/eV/f.u.
**Formation energy**: 0.862 eV per formula unit
**Total magnetic moment**: 4.794 μB per formula unit

```
data_Mn2InMo
_cell_length_a 3.0821
_cell_length_b 3.0821
_cell_length_c 6.5711
_cell_angle_alpha 90.00
_cell_angle_beta 90.00
_cell_angle_gamma 90.00
_symmetry_space_group_name_H-M 'P 4 m m'
_symmetry_Int_Tables_number 99
loop_
_symmetry_equiv_pos_as_xyz
'x,y,z'
'-y,x,z'
'-x,-y,z'
'y,-x,z'
'-x,y,z'
'y,x,z'
'x,-y,z'
'-y,-x,z'
loop_
_atom_site_label
_atom_site_type_symbol
_atom_site_fract_x
_atom_site_fract_y
_atom_site_fract_z
Mn1 Mn 0.0000 0.0000 0.0000
Mn2 Mn 0.5000 0.5000 0.2178
In1 In 0.5000 0.5000 0.7211
Mo1 Mo 0.0000 0.0000 0.4151
```

=====

CaSiMo2 | GGA-PBE | optimized geometry

## Properties
**DOS(E_F)**: 3.54 states/eV/f.u.
**Energy**: -6.85 eV/atom
**Total magnetic moment**: 0.000 μB per formula unit

```
data_CaSiMo2
_cell_length_a 2.7788
_cell_length_b 4.8342
_cell_length_c 5.3785
_cell_angle_alpha 90.00
_cell_angle_beta 90.07
_cell_angle_gamma 90.00
_symmetry_space_group_name_H-M 'P 1 2/m 1'
_symmetry_Int_Tables_number 10
loop_
_symmetry_equiv_pos_as_xyz
'x,y,z'
'-x,-y,-z'
'-x,y,-z'
'x,-y,z'
loop_
_atom_site_label
_atom_site_type_symbol
_atom_site_fract_x
_atom_site_fract_y
_atom_site_fract_z
Ca1 Ca 0.0000 0.0000 0.0000
Si1 Si 0.5000 0.0000 0.5000
Mo1 Mo 0.3638 0.5000 0.7189
```

=====

PmHoP2 | GGA-PBE | optimized geometry

## Properties
**DOS(E_F)**: 1.75 states/eV/f.u.
**Formation energy**: -4.197 eV per formula unit
**Total magnetic moment**: 0.000 μB per formula unit

```
data_PmHoP2
_cell_length_a 4.9548
_cell_length_b 4.9548
_cell_length_c 3.5170
_cell_angle_alpha 90.00
_cell_angle_beta 90.00
_cell_angle_gamma 90.00
_symmetry_space_group_name_H-M 'P 4/m m m'
_symmetry_Int_Tables_number 123
_symmetry_space_group_name_Hall '-P 4 2'
loop_
_atom_site_label
_atom_site_type_symbol
_atom_site_fract_x
_atom_site_fract_y
_atom_site_fract_z
Pm1 Pm 0.0000 0.0000 0.0000
Ho1 Ho 0.5000 0.5000 0.0000
P1 P 0.0000 0.5000 0.5000
```

=====

Ca2AcNdSe4 | GGA-PBE | optimized geometry

## Properties
**DOS(E_F)**: 3.53 states/eV/f.u.
**Energy**: -5.25 eV/atom
**Total magnetic moment**: 0.000 μB per formula unit

```
data_Ca2AcNdSe4
_cell_length_a 7.3689
_cell_length_b 4.2560
_cell_length_c 7.5068
_cell_angle_alpha 90.00
_cell_angle_beta 109.08
_cell_angle_gamma 90.00
_symmetry_space_group_name_H-M 'P 1 2/m 1'
_symmetry_Int_Tables_number 10
loop_
_symmetry_equiv_pos_as_xyz
'x,y,z'
'-x,-y,-z'
'-x,y,-z'
'x,-y,z'
loop_
_atom_site_label
_atom_site_type_symbol
_atom_site_fract_x
_atom_site_fract_y
_atom_site_fract_z
Ca1 Ca 0.0000 0.0000 0.0000
Ca2 Ca 0.5000 0.5000 0.0000
Ac1 Ac 0.0000 0.5000 0.5000
Nd1 Nd 0.5000 0.0000 0.5000
Se1 Se 0.2530 0.5000 0.2394
Se2 Se 0.2624 0.0000 0.7658
```

=====

SbPdAu14 | GGA-PBE | optimized geometry

## Properties
**DOS(E_F)**: 6.22 states/eV/f.u.
**Energy**: -3.45 eV/atom
**Total magnetic moment**: 0.000 μB per formula unit

```
data_SbPdAu14
_cell_length_a 9.7458
_cell_length_b 5.7220
_cell_length_c 10.4863
_cell_angle_alpha 90.00
_cell_angle_beta 90.00
_cell_angle_gamma 90.00
_symmetry_space_group_name_H-M 'A m m 2'
_symmetry_Int_Tables_number 38
loop_
_symmetry_equiv_pos_as_xyz
'x,y,z'
'-x,-y,z'
'-x,y,z'
'x,-y,z'
'x,y+1/2,z+1/2'
'-x,-y+1/2,z+1/2'
'-x,y+1/2,z+1/2'
'x,-y+1/2,z+1/2'
loop_
_atom_site_label
_atom_site_type_symbol
_atom_site_fract_x
_atom_site_fract_y
_atom_site_fract_z
Sb1 Sb 0.0000 0.0000 0.0000
Pd1 Pd 0.0000 0.0000 0.4984
Au1 Au 0.0000 0.2489 0.2494
Au2 Au 0.2465 0.0000 0.6592
Au3 Au 0.2522 0.2485 0.4101
Au4 Au 0.2543 0.0000 0.1615
Au5 Au 0.5000 0.0000 0.3223
Au6 Au 0.5000 0.0000 0.8209
Au7 Au 0.5000 0.2488 0.5724
```

=====

- Look up the total magnetic moment of the seventh one.
  0.000 μB per formula unit